(1)
A plane-wave DFT calculation with PBE was carried out for PmPr4Nd2Sm2 after structural relaxation.

Calculated values
ΔE_f = 0.011 eV/atom

Cell lengths 19.2591, 3.7112, 9.8907 Å; angles 90.00, 115.64, 90.00 degrees
Space group C2/m (No. 12)
Unique sites:
Pm 0.0000 0.0000 0.0000 (multiplicity 2)
Pr 0.0180 0.5000 0.3328 (multiplicity 4)
Pr 0.1852 0.0000 0.3314 (multiplicity 4)
Nd 0.1666 0.5000 0.9989 (multiplicity 4)
Sm 0.1488 0.0000 0.6692 (multiplicity 4)

(2)
A plane-wave DFT calculation with PBE was carried out for UAlGaOs after structural relaxation.

Calculated values
ΔE_f = -0.014 eV/atom

Cell lengths 6.5788, 6.5788, 6.5788 Å; angles 90.00, 90.00, 90.00 degrees
Space group F-43m (No. 216)
Unique sites:
U 0.0000 0.0000 0.0000 (multiplicity 4)
Al 0.0000 0.0000 0.5000 (multiplicity 4)
Ga 0.2500 0.2500 0.2500 (multiplicity 4)
Os 0.2500 0.2500 0.7500 (multiplicity 4)

(3)
A plane-wave DFT calculation with PBE was carried out for PC after structural relaxation.

Calculated values
ΔE_f = 0.842 eV/atom
E above lowest polymorph = 529 meV per atom

Cell lengths 6.5010, 6.5010, 3.8245 Å; angles 90.00, 90.00, 120.00 degrees
Space group P6_3/m (No. 176)
Unique sites:
P 0.0454 0.6645 0.2500 (multiplicity 6)
C 0.0600 0.3899 0.2500 (multiplicity 6)

(4)
A plane-wave DFT calculation with PBE was carried out for NpGa5Tc after structural relaxation.

Calculated values
ΔE_f = -0.220 eV/atom

Cell lengths 4.4336, 4.4336, 6.6589 Å; angles 90.00, 90.00, 90.00 degrees
Space group P4/mmm (No. 123)
Unique sites:
Np 0.0000 0.0000 0.0000 (multiplicity 1)
Ga 0.0000 0.5000 0.3008 (multiplicity 4)
Ga 0.5000 0.5000 0.0000 (multiplicity 1)
Tc 0.0000 0.0000 0.5000 (multiplicity 1)

(5)
A plane-wave DFT calculation with PBE was carried out for Fe2Ni2Au after structural relaxation.

Calculated values
ΔE_f = 0.074 eV/atom
E above lowest polymorph = 0 meV per atom

Cell lengths 6.9636, 6.9636, 2.6805 Å; angles 90.00, 90.00, 90.00 degrees
Space group P4/mbm (No. 127)
Unique sites:
Fe 0.1668 0.3332 0.0000 (multiplicity 4)
Ni 0.1271 0.6271 0.5000 (multiplicity 4)
Au 0.0000 0.0000 0.5000 (multiplicity 2)

(6)
A plane-wave DFT calculation with PBE was carried out for HfBe17Ni after structural relaxation.

Calculated values
ΔE_f = -0.131 eV/atom

Cell lengths 7.3493, 7.3493, 10.7650 Å; angles 90.00, 90.00, 120.00 degrees
Space group R3m (No. 160, hexagonal axes)
Unique sites:
Hf 0.0000 0.0000 0.0000 (multiplicity 3)
Be 0.0000 0.0000 0.2436 (multiplicity 3)
Be 0.0000 0.0000 0.4417 (multiplicity 3)
Be 0.0072 0.3010 0.3402 (multiplicity 18)
Be 0.0114 0.5057 0.4956 (multiplicity 9)
Be 0.0124 0.5062 0.1907 (multiplicity 9)
Be 0.0131 0.5066 0.8352 (multiplicity 9)
Ni 0.0000 0.0000 0.6662 (multiplicity 3)

(7)
A plane-wave DFT calculation with PBE was carried out for Na2CaTl8 after structural relaxation.

Calculated values
ΔE_f = -0.073 eV/atom

Cell lengths 16.7054, 6.2837, 6.4119 Å; angles 90.00, 97.77, 90.00 degrees
Space group C2/m (No. 12)
Unique sites:
Na 0.2483 0.0000 0.3375 (multiplicity 4)
Ca 0.0000 0.0000 0.0000 (multiplicity 2)
Tl 0.0882 0.2531 0.4321 (multiplicity 8)
Tl 0.0962 0.5000 0.9362 (multiplicity 4)
Tl 0.2009 0.0000 0.8432 (multiplicity 4)

(8)
A plane-wave DFT calculation with PBE was carried out for NpTe2Au after structural relaxation.

Calculated values
E_form (uncorrected) = -0.419 eV/atom

Cell lengths 8.8179, 4.3371, 11.3139 Å; angles 90.00, 90.00, 90.00 degrees
Space group Pnma (No. 62)
Unique sites:
Np 0.1568 0.2500 0.1960 (multiplicity 4)
Te 0.0716 0.2500 0.7099 (multiplicity 4)
Te 0.1462 0.7500 0.9762 (multiplicity 4)
Au 0.1678 0.7500 0.4360 (multiplicity 4)

(9)
A plane-wave DFT calculation with PBE was carried out for ZnBiIO2 after structural relaxation.

Calculated values
E_form (uncorrected) = -0.250 eV/atom

Cell lengths 4.2634, 4.2634, 6.9412 Å; angles 90.00, 90.00, 90.00 degrees
Space group P4/mmm (No. 123)
Unique sites:
Zn 0.0000 0.0000 0.0000 (multiplicity 1)
Bi 0.5000 0.5000 0.5000 (multiplicity 1)
I 0.5000 0.5000 0.0000 (multiplicity 1)
O 0.0000 0.5000 0.5000 (multiplicity 2)

(10)
A plane-wave DFT calculation with PBE was carried out for PrHgPb after structural relaxation.

Calculated values
ΔE_f = -0.328 eV/atom

Cell lengths 7.2507, 7.2507, 7.2507 Å; angles 90.00, 90.00, 90.00 degrees
Space group F-43m (No. 216)
Unique sites:
Pr 0.0000 0.0000 0.0000 (multiplicity 4)
Hg 0.2500 0.2500 0.2500 (multiplicity 4)
Pb 0.0000 0.0000 0.5000 (multiplicity 4)

(11)
A plane-wave DFT calculation with PBE was carried out for HgAsOs2 after structural relaxation.

Calculated values
ΔE_f = 0.698 eV/atom
E above lowest polymorph = 302 meV per atom

Cell lengths 3.0393, 3.0393, 6.9603 Å; angles 90.00, 90.00, 90.00 degrees
Space group P4/mmm (No. 123)
Unique sites:
Hg 0.0000 0.0000 0.0000 (multiplicity 1)
As 0.0000 0.0000 0.5000 (multiplicity 1)
Os 0.5000 0.5000 0.2944 (multiplicity 2)